(1)
A relaxed structure of TlGaPtSe. Source: Alexandria, functional PBE.

Properties
Uncorrected formation energy   -23 kJ per mole of atoms
Relative energy among the computed polymorphs   80 meV/atom

Cell and atoms, written as POSCAR:
```
TlGaPtSe
1.0
4.176 0.000 0.000
0.000 3.791 0.000
0.000 0.000 11.681
Tl Ga Pt Se
2 2 2 2
Direct
0.000 0.000 0.330
0.500 0.500 0.830
0.000 0.500 0.038
0.500 0.000 0.538
0.000 0.000 0.893
0.500 0.500 0.393
0.000 0.000 0.664
0.500 0.500 0.164
```



(2)
A relaxed structure of La2Sm2Ge3. Source: Alexandria, functional PBE.

Properties
Formation energy from the elements   -0.65 eV per atom

Cell and atoms, written as POSCAR:
```
La2Sm2Ge3
1.0
-0.282 4.105 -1.351
-6.310 -2.884 -0.506
1.977 2.431 6.978
La Sm Ge
2 2 3
Direct
0.885 0.769 0.231
0.115 0.231 0.769
0.842 0.684 0.732
0.158 0.316 0.268
0.500 0.000 0.000
0.589 0.178 0.461
0.411 0.822 0.539
```



(3)
A relaxed structure of LiTm2Sn9. Source: Alexandria, functional PBE.

Properties
Formation energy from the elements   -0.30 eV per atom

Cell and atoms, written as POSCAR:
```
LiTm2Sn9
1.0
-2.037 -2.540 -3.300
-0.496 -3.500 3.000
-12.730 5.143 3.898
Li Tm Sn
1 2 9
Direct
0.000 0.000 0.000
0.000 0.000 0.337
0.000 0.000 0.663
0.500 0.500 0.000
0.500 0.500 0.330
0.500 0.500 0.670
0.500 0.000 0.163
0.500 0.000 0.500
0.500 0.000 0.837
0.000 0.500 0.163
0.000 0.500 0.500
0.000 0.500 0.837
```



(4)
A relaxed structure of InAg2Se. Source: Alexandria, functional PBE.

Properties
Uncorrected formation energy   10 kJ per mole of atoms

Cell and atoms, written as POSCAR:
```
InAg2Se
1.0
-2.461 -2.038 0.718
1.415 -2.351 -1.788
3.872 -2.458 6.295
Ag In Se
2 1 1
Direct
0.000 0.000 0.986
0.000 0.000 0.514
0.500 0.500 0.250
0.500 0.500 0.750
```